First-principles (PBE-GGA) data for a geometry-optimized ErMg2Cd2Hg2 structure, as listed in the Alexandria database.

Properties
Calculated volume ... 22.79 Å³ per atom
Formation energy ... -195 meV/atom
Space group ... R-3m (166)
Crystal system ... trigonal

Unit cell a=4.8951 b=4.8951 c=8.1897 alpha=72.61 beta=72.61 gamma=60.00
With the nearest neighbours (Å) after each atom.
Element x y z (fractional)
Mg (0.8603, 0.8603, 0.4192)  3 Cd 3.04, 4 Hg 3.05-3.36, 3 Mg 3.09, 1 Er 3.22
Mg (0.1397, 0.1397, 0.5808)  3 Cd 3.04, 4 Hg 3.05-3.36, 3 Mg 3.09, 1 Er 3.22
Cd (0.4239, 0.4239, 0.7282)  3 Hg 2.91, 3 Mg 3.04
Cd (0.5761, 0.5761, 0.2718)  3 Hg 2.91, 3 Mg 3.04
Hg (0.2720, 0.2720, 0.1839)  3 Cd 2.91, 1 Mg 3.05, 3 Er 3.16
Hg (0.7280, 0.7280, 0.8161)  3 Cd 2.91, 1 Mg 3.05, 3 Er 3.16
Er (0.0000, 0.0000, 0.0000)  6 Hg 3.16, 2 Mg 3.22, 6 Cd 3.51

***

First-principles (PBE-GGA) data for a geometry-optimized KLiOs structure, as listed in the Alexandria database.

Properties
Calculated volume ... 20.29 Å³ per atom
Formation energy ... 1016 meV/atom
Space group ... P3m1 (156)
Crystal system ... trigonal

Unit cell a=5.2263 b=5.2263 c=2.5730 alpha=90.00 beta=90.00 gamma=120.00
With the nearest neighbours (Å) after each atom.
Element x y z (fractional)
Os (0.3333, 0.6667, 0.6666)  2 Os 2.57
K (0.0000, 0.0000, 0.1691)  2 K 2.57
Li (0.6667, 0.3333, 0.1644)  2 Li 2.57

***

First-principles (PBE-GGA) data for a geometry-optimized SrCa2LaGe structure, as listed in the Alexandria database.

Properties
Calculated volume ... 41.47 Å³ per atom
Formation energy ... -192 meV/atom
Space group ... P4/mmm (123)
Crystal system ... tetragonal

Unit cell a=5.8676 b=5.8676 c=6.0227 alpha=90.00 beta=90.00 gamma=90.00
With the nearest neighbours (Å) after each atom.
Element x y z (fractional)
Ge (0.0000, 0.0000, 0.0000)  4 Ca 2.93, 2 La 3.01
Ca (0.0000, 0.5000, 0.0000)  2 Ge 2.93
Ca (0.5000, 0.0000, 0.0000)  2 Ge 2.93
La (0.0000, 0.0000, 0.5000)  2 Ge 3.01
Sr (0.5000, 0.5000, 0.5000)  4 La 4.15, 8 Ca 4.20

***

First-principles (PBE-GGA) data for a geometry-optimized Sr3Li structure, as listed in the Alexandria database.

Properties
Calculated volume ... 47.63 Å³ per atom
Formation energy ... 70 meV/atom
Space group ... P-6m2 (187)
Crystal system ... hexagonal

Unit cell a=4.1958 b=4.1958 c=12.4950 alpha=90.00 beta=90.00 gamma=120.00
With the nearest neighbours (Å) after each atom.
Element x y z (fractional)
Li (0.0000, 0.0000, 0.0000)  6 Sr 3.65
Sr (0.6667, 0.3333, 0.2183)  3 Li 3.65
Sr (0.6667, 0.3333, 0.7817)  3 Li 3.65
Sr (0.0000, 0.0000, 0.5000)  12 Sr 4.20-4.27

***

Repeat the third record exactly.
First-principles (PBE-GGA) data for a geometry-optimized SrCa2LaGe structure, as listed in the Alexandria database.

Properties
Calculated volume ... 41.47 Å³ per atom
Formation energy ... -192 meV/atom
Space group ... P4/mmm (123)
Crystal system ... tetragonal

Unit cell a=5.8676 b=5.8676 c=6.0227 alpha=90.00 beta=90.00 gamma=90.00
With the nearest neighbours (Å) after each atom.
Element x y z (fractional)
Ge (0.0000, 0.0000, 0.0000)  4 Ca 2.93, 2 La 3.01
Ca (0.0000, 0.5000, 0.0000)  2 Ge 2.93
Ca (0.5000, 0.0000, 0.0000)  2 Ge 2.93
La (0.0000, 0.0000, 0.5000)  2 Ge 3.01
Sr (0.5000, 0.5000, 0.5000)  4 La 4.15, 8 Ca 4.20